[1]
PBE-GGA Dy3Hg, optimized geometry; calculated formation energy = -0.16 eV/atom; E above lowest polymorph = 0.31 eV/f.u.; M_tot = 0.58 Bohr magnetons per cell; electronic total energy = -0.2706 Ry per atom
1.0
4.8007 0.0000 0.0000
0.0000 4.8007 0.0000
0.0000 0.0000 4.8007
Dy Hg
3 1
Direct
0.0000 0.0000 0.5000
0.0000 0.5000 0.0000
0.5000 0.0000 0.0000
0.5000 0.5000 0.5000

[2]
PBE-GGA Zr2SiSb, optimized geometry; E above lowest polymorph = 0.84 eV/f.u.; formation energy (no corrections) = -44.8 kJ per mole of atoms; M_tot = 0.00 Bohr magnetons per cell; electronic total energy = -0.5236 Ry per atom
1.0
3.2347 -3.9579 0.0000
3.2347 3.9579 0.0000
-0.8132 0.0000 3.2643
Zr Si Sb
2 1 1
Direct
0.0000 0.5000 0.0000
0.5000 0.0000 0.0000
0.0000 0.0000 0.5000
0.5000 0.5000 0.5000